Ba2TbMnSe5, relaxed, DFT PBE; total magnetic moment = 4.0 μB per formula unit; formation energy (no corrections) = -1.558 eV per atom; total DFT energy (no corrections) = -5.45 eV per atom
1.0
2.156 -9.398 0.000
2.156 9.398 0.000
0.000 0.000 13.428
Ba Tb Mn Se
4 2 2 10
Cartesian
2.156 7.071 6.714
2.156 7.043 11.495
2.156 -7.043 4.781
2.156 -7.071 0.000
2.156 5.664 2.600
2.156 -5.664 9.314
2.156 1.120 7.925
2.156 -1.120 1.211
2.156 8.681 2.342
2.156 3.672 11.200
2.156 3.510 7.277
2.156 2.896 2.387
2.156 0.027 5.816
2.156 -0.027 12.530
2.156 -2.896 9.101
2.156 -3.510 0.562
2.156 -3.672 4.486
2.156 -8.681 9.056


PrThPa, relaxed, DFT PBE; total magnetic moment = 0.0 μB per formula unit; total DFT energy (no corrections) = -7.04 eV per atom; energy above the most stable polymorph in this dataset = 0.0158 eV/atom; DFT formation energy = 0.1882 eV per atom
1.0
-1.694 1.694 7.943
1.694 -1.694 7.943
1.694 1.694 -7.943
Pr Th Pa
1 1 1
Cartesian
0.000 0.000 0.000
0.000 0.000 10.859
0.000 0.000 5.356


CsPu2SnBr8, relaxed, DFT PBE; total magnetic moment = 11.0 μB per formula unit; formation energy (no corrections) = -1.353 eV per atom; total DFT energy (no corrections) = -5.26 eV per atom
1.0
7.080 0.000 0.000
0.203 7.364 0.000
0.007 0.003 9.210
Cs Pu Sn Br
1 2 1 8
Cartesian
0.000 0.000 0.000
3.643 3.683 2.360
3.646 3.683 6.850
0.003 0.001 4.605
1.946 2.572 4.606
2.067 6.122 6.575
2.067 6.124 2.633
2.012 2.897 0.002
5.278 4.469 9.208
5.223 1.243 6.577
5.222 1.245 2.635
5.344 4.794 4.604


SrFeAs2, relaxed, DFT PBE; total magnetic moment = 2.5 μB per formula unit; total DFT energy (no corrections) = -5.24 eV per atom; DFT formation energy = -0.3788 eV per atom
1.0
3.984 0.000 0.000
0.000 4.430 0.000
0.000 0.000 5.479
Sr Fe As
1 1 2
Cartesian
0.000 0.000 0.000
0.000 2.215 2.739
1.992 2.215 1.360
1.992 2.215 4.118


AcEu2H, relaxed, DFT PBE; total magnetic moment = 14.5 μB per formula unit; total DFT energy (no corrections) = -6.93 eV per atom; energy above the most stable polymorph in this dataset = 0.1295 eV/atom
1.0
3.606 0.000 0.000
0.000 3.606 0.000
0.000 0.000 9.489
Ac Eu H
1 2 1
Cartesian
0.000 0.000 0.000
1.803 1.803 3.049
1.803 1.803 6.440
0.000 0.000 4.744


TaCuIrRu, relaxed, DFT PBE; total magnetic moment = 0.0 μB per formula unit; total DFT energy (no corrections) = -8.80 eV per atom; energy above the most stable polymorph in this dataset = 0.0229 eV/atom; DFT formation energy = -0.2738 eV per atom
1.0
0.000 3.088 3.088
3.088 0.000 3.088
3.088 3.088 0.000
Ta Cu Ir Ru
1 1 1 1
Cartesian
0.000 0.000 0.000
3.088 3.088 3.088
1.544 1.544 1.544
4.633 4.633 4.633


Question: total DFT energy (no corrections) of number 4 (SrFeAs2)?
Answer: -5.24 eV per atom


Question: What is the formula in the fifth record?
Answer: AcEu2H